Record 1
VASP calculation (PBE-GGA) on crystalline K2TiBi2O6 at its relaxed geometry.

a b c (Å): 5.8618 5.8618 6.6228
angles (deg): 98.29 98.29 118.20
Atoms (fractional coordinates):
1 Bi 0.3342 0.6658 0.5000
2 O 0.3478 0.0478 0.6751
3 Bi 0.6658 0.3342 0.5000
4 O 0.0478 0.3478 0.6751
5 K 0.8345 0.1655 0.0000
6 O 0.6522 0.9522 0.3249
7 O 0.2137 0.2137 0.3204
8 K 0.1655 0.8345 0.0000
9 O 0.7863 0.7863 0.6796
10 Ti 0.0000 0.0000 0.5000
11 O 0.9522 0.6522 0.3249

Results
**SG**: C2/m

Record 2
VASP calculation (PBE-GGA) on crystalline K2TiBiO4 at its relaxed geometry.

a b c (Å): 5.8486 5.8486 5.8486
angles (deg): 104.33 112.10 112.10
Last column: magnetic moment on the atom in μB.
Atoms (fractional coordinates):
1 O 0.0439 0.2093 0.5271  0.04
2 O 0.6822 0.4729 0.5168  0.04
3 K 0.5000 0.7500 0.2500  0.02
4 O 0.3178 0.8346 0.7907  0.04
5 Ti 0.0000 0.5000 0.5000  0.03
6 Bi 0.5000 0.2500 0.7500  0.46
7 K 0.0000 0.0000 0.0000  0.01
8 O 0.9561 0.4832 0.1654  0.04

Results
**SG**: I-4

Record 3
VASP calculation (PBE-GGA) on crystalline KTiBiO4 at its relaxed geometry.

a b c (Å): 6.3171 6.1254 7.4137
angles (deg): 90.00 106.42 90.00
Atoms (fractional coordinates):
1 O 0.0887 0.5099 0.3188
2 O 0.5593 0.2500 0.8263
3 O 0.9113 0.4901 0.6812
4 Ti 0.2767 0.7500 0.3331
5 Bi 0.7920 0.7500 0.4723
6 O 0.4407 0.7500 0.1737
7 O 0.5150 0.2500 0.4377
8 O 0.9113 0.0099 0.6812
9 Bi 0.2080 0.2500 0.5277
10 Ti 0.7233 0.2500 0.6669
11 O 0.0887 0.9901 0.3188
12 K 0.6897 0.7500 0.9359
13 K 0.3103 0.2500 0.0641
14 O 0.4850 0.7500 0.5623

Results
**SG**: P2_1/m

Record 4
VASP calculation (PBE-GGA) on crystalline K2TlBi2O6 at its relaxed geometry.

a b c (Å): 6.1843 6.1843 6.6616
angles (deg): 97.85 97.85 120.99
Atoms (fractional coordinates):
1 O 0.4014 0.0430 0.6846
2 K 0.1628 0.8372 0.0000
3 Bi 0.6674 0.3326 0.5000
4 O 0.9570 0.5986 0.3154
5 O 0.5986 0.9570 0.3154
6 O 0.7524 0.7524 0.6833
7 O 0.2476 0.2476 0.3167
8 Tl 0.0000 0.0000 0.5000
9 K 0.8372 0.1628 0.0000
10 O 0.0430 0.4014 0.6846
11 Bi 0.3326 0.6674 0.5000

Results
**SG**: C2/m

Record 5
VASP calculation (PBE-GGA) on crystalline K3TlBi2O6 at its relaxed geometry.

a b c (Å): 6.2178 6.2178 6.5988
angles (deg): 99.02 99.02 120.01
Atoms (fractional coordinates):
1 O 0.9335 0.6071 0.8002
2 Bi 0.3332 0.6668 0.0000
3 Bi 0.6668 0.3332 0.0000
4 O 0.6071 0.9335 0.8002
5 O 0.2599 0.2599 0.8010
6 O 0.0665 0.3929 0.1998
7 K 0.8349 0.1651 0.5000
8 K 0.1651 0.8349 0.5000
9 Tl 0.0000 0.0000 0.0000
10 O 0.3929 0.0665 0.1998
11 K 0.5000 0.5000 0.5000
12 O 0.7401 0.7401 0.1990

Results
**SG**: C2/m

Record 6
VASP calculation (PBE-GGA) on crystalline K3Tl3BiO8 at its relaxed geometry.

a b c (Å): 6.9762 6.9781 7.5191
angles (deg): 117.65 89.99 120.00
Atoms (fractional coordinates):
1 Tl 0.5000 0.5000 0.5000
2 O 0.2201 0.4401 0.6860
3 Tl 0.0000 0.5000 0.5000
4 K 0.0000 0.0000 0.0000
5 O 0.2542 0.0340 0.3140
6 O 0.7798 0.0339 0.3140
7 K 0.0000 0.5000 0.0000
8 O 0.7799 0.5599 0.3140
9 O 0.2711 0.5424 0.3139
10 K 0.5000 0.5000 0.0000
11 O 0.7458 0.9660 0.6860
12 Tl 0.5000 0.0000 0.5000
13 O 0.7289 0.4576 0.6861
14 Bi 0.0000 0.0000 0.5000
15 O 0.2202 0.9661 0.6860

Results
**SG**: R-3m

Record 7
VASP calculation (PBE-GGA) on crystalline K3TmBi2O6 at its relaxed geometry.

a b c (Å): 6.1626 6.1626 6.6053
angles (deg): 98.96 98.96 120.00
Atoms (fractional coordinates):
1 K 0.1678 0.8322 0.5000
2 O 0.0651 0.3798 0.1950
3 O 0.9349 0.6202 0.8050
4 K 0.5000 0.5000 0.5000
5 O 0.2499 0.2499 0.8054
6 Tm 0.0000 0.0000 0.0000
7 Bi 0.6665 0.3335 0.0000
8 O 0.3798 0.0651 0.1950
9 O 0.6202 0.9349 0.8050
10 Bi 0.3335 0.6665 0.0000
11 K 0.8322 0.1678 0.5000
12 O 0.7501 0.7501 0.1946

Results
**SG**: C2/m

Record 8
VASP calculation (PBE-GGA) on crystalline K4Tm3BiO8 at its relaxed geometry.

a b c (Å): 6.9462 7.4307 6.9461
angles (deg): 117.88 120.00 90.00
Atoms (fractional coordinates):
1 K 0.5000 0.0000 0.0000
2 O 0.2375 0.6886 0.9513
3 Tm 0.0000 0.5000 0.5000
4 Tm 0.5000 0.5000 0.0000
5 O 0.2726 0.3179 0.5452
6 K 0.0000 0.0000 0.0000
7 Bi 0.0000 0.5000 0.0000
8 O 0.7625 0.3114 0.0487
9 O 0.2375 0.6886 0.4749
10 O 0.7138 0.6886 0.9513
11 O 0.7625 0.3114 0.5251
12 K 0.0000 0.0000 0.5000
13 O 0.7274 0.6821 0.4548
14 O 0.2862 0.3114 0.0487
15 K 0.5000 0.0000 0.5000
16 Tm 0.5000 0.5000 0.5000

Results
**SG**: R-3m

Record 9
VASP calculation (PBE-GGA) on crystalline K3Tm2BiO6 at its relaxed geometry.

a b c (Å): 6.0393 6.0393 6.5775
angles (deg): 98.82 98.82 119.99
Atoms (fractional coordinates):
1 O 0.4151 0.0630 0.1887
2 K 0.5000 0.5000 0.5000
3 K 0.1649 0.8351 0.5000
4 Bi 0.0000 0.0000 0.0000
5 O 0.2892 0.2892 0.8114
6 O 0.0630 0.4151 0.1887
7 O 0.5849 0.9370 0.8113
8 O 0.7108 0.7108 0.1886
9 Tm 0.3332 0.6668 0.0000
10 K 0.8351 0.1649 0.5000
11 O 0.9370 0.5849 0.8113
12 Tm 0.6668 0.3332 0.0000

Results
**SG**: C2/m

Record 10
VASP calculation (PBE-GGA) on crystalline K2TmBi2O6 at its relaxed geometry.

a b c (Å): 6.0476 6.0476 6.7289
angles (deg): 98.79 98.79 119.45
Atoms (fractional coordinates):
1 O 0.6155 0.9480 0.3197
2 Bi 0.3351 0.6649 0.5000
3 Bi 0.6649 0.3351 0.5000
4 O 0.9480 0.6155 0.3197
5 O 0.0520 0.3845 0.6803
6 O 0.7507 0.7507 0.6844
7 K 0.1687 0.8313 0.0000
8 K 0.8313 0.1687 0.0000
9 O 0.3845 0.0520 0.6803
10 O 0.2493 0.2493 0.3156
11 Tm 0.0000 0.0000 0.5000

Results
**SG**: C2/m

Record 11
VASP calculation (PBE-GGA) on crystalline K2TmBiO4 at its relaxed geometry.

a b c (Å): 3.5077 6.1274 6.5900
angles (deg): 107.80 90.00 90.00
Atoms (fractional coordinates):
1 O 0.0000 0.7140 0.1869
2 O 0.5000 0.7500 0.8038
3 O 0.0000 0.2860 0.8131
4 Bi 0.0000 0.0000 0.0000
5 Tm 0.5000 0.5000 0.0000
6 K 0.5000 0.0000 0.5000
7 K 0.0000 0.5000 0.5000
8 O 0.5000 0.2500 0.1962

Results
**SG**: P2/m

Record 12
VASP calculation (PBE-GGA) on crystalline K2Tm2BiO6 at its relaxed geometry.

a b c (Å): 5.9421 5.9421 6.6840
angles (deg): 98.31 98.31 120.07
Last column: magnetic moment on the atom in μB.
Atoms (fractional coordinates):
1 K 0.1667 0.8333 0.0000  0.00
2 Bi 0.0000 0.0000 0.5000  0.11
3 O 0.2737 0.2737 0.3220  0.11
4 O 0.9481 0.6037 0.3229  0.09
5 O 0.7263 0.7263 0.6780  0.11
6 Tm 0.6655 0.3345 0.5000  0.01
7 Tm 0.3345 0.6655 0.5000  0.01
8 O 0.3963 0.0519 0.6771  0.09
9 K 0.8333 0.1667 0.0000  0.00
10 O 0.0519 0.3963 0.6771  0.09
11 O 0.6037 0.9481 0.3229  0.09

Results
**SG**: C2/m

no.,magnetization (μB per cell),formation energy (no corrections) (eV per atom),calculated volume (Å³/cell)
1,0.0,-1.78,192.5
2,1.0,-1.93,153.1
3,0.0,-2.10,275.2
4,0.0,-1.13,209.9
5,0.0,-1.23,209.8
6,0.0,-1.04,267.7
7,0.0,-1.83,206.4
8,0.0,-2.45,261.3
9,0.0,-2.33,197.8
10,0.0,-1.78,204.2
11,0.0,-2.07,134.9
12,0.8,-2.33,195.5